No. 1
Material: BaLaCu2F8
Method: DFT, PBE
State: relaxed

Lattice parameters (Å, degrees): 6.1403 6.1403 6.7440 62.92 62.92 60.00
Site moments in Bohr magnetons follow the coordinates.
Element x y z (fractional)
Ba (0.5000, 0.5000, 0.5000)  0.00
La (0.0000, 0.0000, 0.0000)  0.00
Cu (0.2595, 0.2595, 0.2214)  0.42
Cu (0.7405, 0.7405, 0.7786)  0.42
F (0.1458, 0.1458, 0.5625)  0.04
F (0.5885, 0.3094, 0.1730)  0.01
F (0.8542, 0.8542, 0.4375)  0.04
F (0.9291, 0.5885, 0.1730)  0.01
F (0.0709, 0.4115, 0.8270)  0.01
F (0.3094, 0.9291, 0.1730)  0.01
F (0.6906, 0.0709, 0.8270)  0.01
F (0.4115, 0.6906, 0.8270)  0.01

Calculated values
As for the crystal system: trigonal. For the volume, the calculation gives 15.61 Å³/atom. As for the magnetic moment: 1.017 Bohr magnetons per cell. For the uncorrected formation energy, the calculation gives -2789 meV/atom.



No. 2
Material: Ba2LiCuF
Method: DFT, PBE
State: relaxed

Lattice parameters (Å, degrees): 6.4239 4.2459 6.4239 90.00 90.00 90.00
Element x y z (fractional)
Li (0.5000, 0.5000, 0.5000)
Ba (0.0000, 0.0000, 0.5000)
Ba (0.5000, 0.0000, 0.0000)
Cu (0.0000, 0.0000, 0.0000)
F (0.0000, 0.5000, 0.0000)

Calculated values
As for the crystal system: tetragonal. For the volume, the calculation gives 35.04 Å³/atom. As for the magnetic moment: 0.000 Bohr magnetons per cell. For the energy relative to the lowest polymorph listed for this composition, the calculation gives 632 meV/atom. For the uncorrected formation energy, the calculation gives -365 meV/atom.



No. 3
Material: BaLi4Cu3F12
Method: DFT, PBE
State: relaxed

Lattice parameters (Å, degrees): 6.6512 6.6512 6.6512 109.47 109.47 109.47
Site moments in Bohr magnetons follow the coordinates.
Element x y z (fractional)
Ba (0.0000, 0.0000, 0.0000)  0.00
Li (0.5000, 0.0000, 0.0000)  0.00
Li (0.5000, 0.5000, 0.5000)  0.00
Li (0.0000, 0.5000, 0.0000)  0.00
Li (0.0000, 0.0000, 0.5000)  0.00
Cu (0.0000, 0.5000, 0.5000)  0.67
Cu (0.5000, 0.5000, 0.0000)  0.67
Cu (0.5000, 0.0000, 0.5000)  0.67
F (0.3168, 0.8281, 0.1449)  0.07
F (0.6832, 0.1719, 0.8551)  0.07
F (0.6832, 0.8281, 0.5114)  0.07
F (0.8551, 0.6832, 0.1719)  0.07
F (0.8281, 0.1449, 0.3168)  0.07
F (0.1719, 0.4886, 0.3168)  0.07
F (0.4886, 0.3168, 0.1719)  0.07
F (0.1719, 0.8551, 0.6832)  0.07
F (0.3168, 0.1719, 0.4886)  0.07
F (0.1449, 0.3168, 0.8281)  0.07
F (0.8281, 0.5114, 0.6832)  0.07
F (0.5114, 0.6832, 0.8281)  0.07

Calculated values
As for the crystal system: cubic. For the volume, the calculation gives 11.33 Å³/atom. As for the magnetic moment: 2.839 Bohr magnetons per cell. For the uncorrected formation energy, the calculation gives -2457 meV/atom.



No. 4
Material: Ba2LiCuF
Method: DFT, PBE
State: relaxed

Lattice parameters (Å, degrees): 5.7366 5.7366 4.1009 90.00 90.00 90.00
Element x y z (fractional)
Li (0.0000, 0.0000, 0.5000)
Ba (0.0000, 0.5000, 0.0000)
Ba (0.5000, 0.0000, 0.0000)
Cu (0.5000, 0.5000, 0.5000)
F (0.0000, 0.0000, 0.0000)

Calculated values
As for the crystal system: tetragonal. For the volume, the calculation gives 26.99 Å³/atom. As for the magnetic moment: 0.001 Bohr magnetons per cell. For the energy relative to the lowest polymorph listed for this composition, the calculation gives 0 meV/atom. For the uncorrected formation energy, the calculation gives -998 meV/atom.



No. 5
Material: BaMgCuF6
Method: DFT, PBE
State: relaxed

Lattice parameters (Å, degrees): 7.2162 7.0626 7.1881 119.42 120.13 90.00
Site moments in Bohr magnetons follow the coordinates.
Element x y z (fractional)
Ba (0.8799, 0.6299, 0.7598)  0.00
Ba (0.1201, 0.3701, 0.2402)  0.00
Mg (0.5000, 0.0000, 0.5000)  0.00
Mg (0.0000, 0.0000, 0.5000)  0.00
Cu (0.5000, 0.5000, 0.0000)  0.73
Cu (0.5000, 0.0000, 0.0000)  0.73
F (0.4115, 0.6615, 0.8230)  0.10
F (0.8195, 0.0695, 0.6390)  0.01
F (0.8464, 0.0883, 0.2467)  0.04
F (0.4003, 0.6584, 0.2467)  0.04
F (0.4003, 0.0883, 0.2467)  0.04
F (0.8464, 0.6584, 0.2467)  0.04
F (0.5885, 0.3385, 0.1770)  0.10
F (0.1805, 0.9305, 0.3610)  0.01
F (0.1536, 0.9117, 0.7533)  0.04
F (0.5997, 0.3416, 0.7533)  0.04
F (0.5997, 0.9117, 0.7533)  0.04
F (0.1536, 0.3416, 0.7533)  0.04

Calculated values
As for the crystal system: orthorhombic. For the volume, the calculation gives 14.49 Å³/atom. As for the magnetic moment: 2.000 Bohr magnetons per cell. For the uncorrected formation energy, the calculation gives -2851 meV/atom.



No. 6
Material: Ba2Mg3CuF12
Method: DFT, PBE
State: relaxed

Lattice parameters (Å, degrees): 7.1302 7.1302 7.1302 60.54 60.54 60.54
Site moments in Bohr magnetons follow the coordinates.
Element x y z (fractional)
Ba (0.6224, 0.6224, 0.6224)  0.00
Ba (0.3776, 0.3776, 0.3776)  0.00
Mg (0.5000, 0.0000, 0.0000)  0.00
Mg (0.0000, 0.5000, 0.0000)  0.00
Mg (0.0000, 0.0000, 0.5000)  0.00
Cu (0.0000, 0.0000, 0.0000)  0.73
F (0.3277, 0.3277, 0.9123)  0.00
F (0.9033, 0.9033, 0.3487)  0.04
F (0.3487, 0.9033, 0.9033)  0.04
F (0.9123, 0.3277, 0.3277)  0.00
F (0.9033, 0.3487, 0.9033)  0.04
F (0.3277, 0.9123, 0.3277)  0.00
F (0.6723, 0.6723, 0.0877)  0.00
F (0.0967, 0.0967, 0.6513)  0.04
F (0.6513, 0.0967, 0.0967)  0.04
F (0.0877, 0.6723, 0.6723)  0.00
F (0.0967, 0.6513, 0.0967)  0.04
F (0.6723, 0.0877, 0.6723)  0.00

Calculated values
As for the crystal system: trigonal. For the volume, the calculation gives 14.42 Å³/atom. As for the magnetic moment: 1.000 Bohr magnetons per cell. For the uncorrected formation energy, the calculation gives -3190 meV/atom.



No. 7
Material: Ba2MgCu3F14
Method: DFT, PBE
State: relaxed

Lattice parameters (Å, degrees): 5.2670 7.3515 14.5717 91.17 89.57 109.72
Site moments in Bohr magnetons follow the coordinates.
Element x y z (fractional)
Ba (0.1329, 0.3757, 0.6187)  0.00
Ba (0.2464, 0.3821, 0.1206)  0.00
Ba (0.8660, 0.6231, 0.3797)  0.00
Ba (0.7498, 0.6168, 0.8776)  0.00
Mg (0.4518, 0.0184, 0.7497)  0.00
Mg (0.5452, 0.9792, 0.2486)  0.00
Cu (0.1084, 0.2256, 0.8720)  1.01
Cu (0.8877, 0.7734, 0.1260)  1.01
Cu (0.1263, 0.2310, 0.3712)  1.03
Cu (0.8733, 0.7674, 0.6276)  1.03
Cu (0.4980, 0.9995, 0.9992)  0.93
Cu (0.4997, 0.9990, 0.4994)  0.91
F (0.8836, 0.9856, 0.3343)  0.12
F (0.8327, 0.2493, 0.4538)  0.16
F (0.1667, 0.7490, 0.5450)  0.16
F (0.6756, 0.5111, 0.5857)  0.14
F (0.6121, 0.1116, 0.6202)  0.10
F (0.5193, 0.9038, 0.8766)  0.11
F (0.4123, 0.2409, 0.9564)  0.16
F (0.9007, 0.0262, 0.1605)  0.13
F (0.3833, 0.3078, 0.7740)  0.12
F (0.3241, 0.4870, 0.4136)  0.14
F (0.8257, 0.2274, 0.7865)  0.12
F (0.1791, 0.4904, 0.9072)  0.13
F (0.4168, 0.2163, 0.2885)  0.12
F (0.1700, 0.7711, 0.2117)  0.12
F (0.4766, 0.0948, 0.1218)  0.11
F (0.6132, 0.6919, 0.2245)  0.12
F (0.1153, 0.8379, 0.0153)  0.17
F (0.1160, 0.0131, 0.6641)  0.12
F (0.8808, 0.1609, 0.9828)  0.17
F (0.7354, 0.8504, 0.5162)  0.17
F (0.5836, 0.7579, 0.0418)  0.16
F (0.5827, 0.7818, 0.7102)  0.12
F (0.9765, 0.3455, 0.2767)  0.14
F (0.2637, 0.1475, 0.4825)  0.17
F (0.3872, 0.8863, 0.3784)  0.10
F (0.0956, 0.9729, 0.8378)  0.13
F (0.0246, 0.6542, 0.7223)  0.14
F (0.8166, 0.5084, 0.0911)  0.13

Calculated values
As for the crystal system: triclinic. For the volume, the calculation gives 13.28 Å³/atom. As for the magnetic moment: 10.019 Bohr magnetons per cell. For the uncorrected formation energy, the calculation gives -2492 meV/atom.



No. 8
Material: BaMg2CuF8
Method: DFT, PBE
State: relaxed

Lattice parameters (Å, degrees): 5.1451 4.7202 7.6151 90.96 95.19 82.06
Site moments in Bohr magnetons follow the coordinates.
Element x y z (fractional)
Ba (0.0000, 0.0000, 0.5000)  0.00
Mg (0.4575, 0.4679, 0.8141)  0.00
Mg (0.5425, 0.5321, 0.1859)  0.00
Cu (0.0000, 0.0000, 0.0000)  0.74
F (0.2419, 0.8369, 0.2064)  0.06
F (0.6986, 0.6556, 0.9823)  0.00
F (0.7826, 0.1583, 0.1811)  0.06
F (0.7581, 0.1631, 0.7936)  0.06
F (0.3014, 0.3444, 0.0177)  0.00
F (0.2174, 0.8417, 0.8189)  0.06
F (0.7145, 0.5897, 0.4163)  0.00
F (0.2855, 0.4103, 0.5837)  0.00

Calculated values
As for the crystal system: triclinic. For the volume, the calculation gives 15.20 Å³/atom. As for the magnetic moment: 1.000 Bohr magnetons per cell. For the uncorrected formation energy, the calculation gives -3023 meV/atom.



Q: The lowest magnetic moment belongs to which entry?
A: number 2



Q: What is the formula in the second record?
A: Ba2LiCuF



Q: Look up the magnetic moment of the third one.
A: 2.839 Bohr magnetons per cell



Q: What is the formula in the fifth record?
A: BaMgCuF6